! GGA+U CsYbMo2O8, relaxed; values from VASP
! - raw total energy (eV/cell) = -159.03
! - density of states at the Fermi level (states/eV/atom) = 1.516
&SYSTEM
  ibrav = 0, nat = 24, ntyp = 4
/
ATOMIC_SPECIES
Cs 132.91 Cs.upf
Yb 173.04 Yb.upf
Mo 95.94 Mo.upf
O 16.00 O.upf
CELL_PARAMETERS angstrom
5.5155 -5.3396 0.0000
5.5155 5.3396 0.0000
-5.1094 0.0000 5.9211
ATOMIC_POSITIONS crystal
Cs 0.1937 0.8063 0.7500
Cs 0.8063 0.1937 0.2500
Yb 0.2272 0.7728 0.2500
Yb 0.7728 0.2272 0.7500
Mo 0.3072 0.3078 0.2702
Mo 0.3078 0.3072 0.7702
Mo 0.6922 0.6928 0.2298
Mo 0.6928 0.6922 0.7298
O 0.0561 0.2253 0.7097
O 0.0663 0.3695 0.1260
O 0.2253 0.0561 0.2097
O 0.2445 0.3852 0.5704
O 0.3695 0.0663 0.6260
O 0.3736 0.5885 0.0373
O 0.3852 0.2445 0.0704
O 0.4115 0.6264 0.4627
O 0.5885 0.3736 0.5373
O 0.6148 0.7555 0.9296
O 0.6264 0.4115 0.9627
O 0.6305 0.9337 0.3740
O 0.7555 0.6148 0.4296
O 0.7747 0.9439 0.7903
O 0.9337 0.6305 0.8740
O 0.9439 0.7747 0.2903